No. 1
# PBE Li2AsN, relaxed
# energy relative to the lowest polymorph listed for this composition: 0.0 meV/atom
# uncorrected formation energy: 0.10 eV/f.u.
# N(E_F): 9.24 states/eV/cell
data_Li2AsN
_chemical_formula_sum 'Li8 As4 N4'
_space_group_name_H-M_alt 'I -4 2 d'
_space_group_IT_number 122
_space_group_name_Hall 'I -4 2bw'
_cell_length_a 7.4974
_cell_length_b 7.4974
_cell_length_c 4.1424
_cell_angle_alpha 90.00
_cell_angle_beta 90.00
_cell_angle_gamma 90.00
loop_
_atom_site_label
_atom_site_type_symbol
_atom_site_fract_x
_atom_site_fract_y
_atom_site_fract_z
Li1 Li 0.1011 0.2500 0.1250
As1 As 0.0000 0.0000 0.5000
N1 N 0.0000 0.0000 0.0000


No. 2
# PBE NdSmYEr, relaxed
# calculated formation energy: 111 meV/atom
# energy relative to the lowest polymorph listed for this composition: 0.0 meV/atom
# N(E_F): 31.18 states/eV/cell
data_NdSmYEr
_chemical_formula_sum 'Nd4 Sm4 Y4 Er4'
_space_group_name_H-M_alt 'F -4 3 m'
_space_group_IT_number 216
_space_group_name_Hall 'F -4 2 3'
_cell_length_a 8.1045
_cell_length_b 8.1045
_cell_length_c 8.1045
_cell_angle_alpha 90.00
_cell_angle_beta 90.00
_cell_angle_gamma 90.00
loop_
_atom_site_label
_atom_site_type_symbol
_atom_site_fract_x
_atom_site_fract_y
_atom_site_fract_z
Nd1 Nd 0.0000 0.0000 0.0000
Sm1 Sm 0.0000 0.0000 0.5000
Y1 Y 0.2500 0.2500 0.2500
Er1 Er 0.2500 0.2500 0.7500


No. 3
# PBE YAgIr2, relaxed
# calculated formation energy: -10 meV/atom
# energy relative to the lowest polymorph listed for this composition: 211.7 meV/atom
# N(E_F): 13.85 states/eV/cell
data_YAgIr2
_chemical_formula_sum 'Y4 Ag4 Ir8'
_space_group_name_H-M_alt 'F m -3 m'
_space_group_IT_number 225
_space_group_name_Hall '-F 4 2 3'
_cell_length_a 6.6187
_cell_length_b 6.6187
_cell_length_c 6.6187
_cell_angle_alpha 90.00
_cell_angle_beta 90.00
_cell_angle_gamma 90.00
loop_
_atom_site_label
_atom_site_type_symbol
_atom_site_fract_x
_atom_site_fract_y
_atom_site_fract_z
Y1 Y 0.0000 0.0000 0.0000
Ag1 Ag 0.0000 0.0000 0.5000
Ir1 Ir 0.2500 0.2500 0.2500


No. 4
# PBE Ac3ScSn2, relaxed
# calculated formation energy: -476 meV/atom
# N(E_F): 33.54 states/eV/cell
data_Ac3ScSn2
_chemical_formula_sum 'Ac12 Sc4 Sn8'
_space_group_name_H-M_alt 'I b a m'
_space_group_IT_number 72
_space_group_name_Hall '-I 2 2c'
_cell_length_a 6.8993
_cell_length_b 17.7203
_cell_length_c 6.8626
_cell_angle_alpha 90.00
_cell_angle_beta 90.00
_cell_angle_gamma 90.00
loop_
_atom_site_label
_atom_site_type_symbol
_atom_site_fract_x
_atom_site_fract_y
_atom_site_fract_z
Ac1 Ac 0.0000 0.0000 0.2500
Ac2 Ac 0.2417 0.1766 0.0000
Sc1 Sc 0.0000 0.5000 0.2500
Sn1 Sn 0.2214 0.3732 0.0000